Entry 1:
A relaxed YAg2Br crystal, computed with GGA-PBE.

extended XYZ file:
```
4
Lattice="3.9747 0.0000 0.0000 0.0000 3.9747 0.0000 0.0000 0.0000 6.0445" Properties=species:S:1:pos:R:3 pbc="T T T"
Y 0.0000 0.0000 0.0000
Ag 1.9873 1.9873 1.4415
Ag 1.9873 1.9873 4.6030
Br 0.0000 0.0000 3.0223
```

Its formation energy without anion corrections is -0.2481 eV per atom. The crystal system is tetragonal. For the polymorph energy (0 for the lowest one), the calculation gives 0.211 eV/atom. The calculation puts the electronic total energy at -0.273 Ry per atom. The magnetic moment comes out at 0.00 μB per cell.

Entry 2:
A relaxed BaInIr4 crystal, computed with GGA-PBE.

extended XYZ file:
```
6
Lattice="0.0000 3.8679 3.8679 3.8679 0.0000 3.8679 3.8679 3.8679 0.0000" Properties=species:S:1:pos:R:3 pbc="T T T"
Ba 0.0000 0.0000 0.0000
In 5.8019 5.8019 5.8019
Ir 2.9056 2.9056 2.9056
Ir 4.8302 4.8302 2.9056
Ir 4.8302 2.9056 4.8302
Ir 2.9056 4.8302 4.8302
```

The crystal system is cubic. The calculation puts the electronic total energy at -0.480 Ry per atom. The magnetic moment comes out at 0.00 μB per cell.

Entry 3:
A relaxed KCaInF6 crystal, computed with GGA-PBE.

extended XYZ file:
```
18
Lattice="-3.9488 4.0556 5.7740 3.9488 -4.0556 5.7740 3.9488 4.0556 -5.7740" Properties=species:S:1:pos:R:3 pbc="T T T"
K 0.0000 2.0278 0.7351
K 3.9488 2.0278 5.0389
Ca 1.9744 2.0278 -2.8870
Ca 1.9744 -2.0278 2.8870
In 3.9488 0.0000 0.0000
In 0.0000 0.0000 5.7740
F 2.4283 -0.3856 1.3766
F 5.4694 -0.3856 1.3766
F 3.9488 -2.0278 3.9216
F 3.9488 2.0278 0.6596
F 2.4283 3.6699 -1.3766
F 1.5205 -0.3856 4.3974
F 2.4283 4.4412 1.3766
F 1.5205 0.3856 7.1506
F 0.0000 2.0278 5.1144
F 0.0000 6.0834 1.8524
F -1.5205 4.4412 4.3974
F 1.5205 4.4412 4.3974
```

Its formation energy without anion corrections is -3.0355 eV per atom. The crystal system is orthorhombic. The calculation puts the electronic total energy at -0.362 Ry per atom. The magnetic moment comes out at 0.17 μB per cell.

Entry 4:
A relaxed Mg7In2 crystal, computed with GGA-PBE.

extended XYZ file:
```
9
Lattice="5.6125 0.0000 0.0000 -2.8063 4.8606 0.0000 0.0000 0.0000 7.6971" Properties=species:S:1:pos:R:3 pbc="T T T"
Mg 0.0000 0.0000 0.0000
Mg -0.9368 1.6225 5.1357
Mg -1.8695 3.2381 2.5615
Mg 1.8735 0.0000 5.1357
Mg 0.9368 1.6225 2.5615
Mg 3.7390 0.0000 2.5615
Mg 1.8695 3.2381 5.1357
In 0.0000 3.2404 0.0000
In 2.8063 1.6202 0.0000
```

The crystal system is trigonal. The calculation puts the electronic total energy at -0.139 Ry per atom. The magnetic moment comes out at 0.00 μB per cell.

Entry 5:
A relaxed Bi4Os6O19 crystal, computed with GGA-PBE.

extended XYZ file:
```
29
Lattice="-4.5591 4.5591 4.5591 4.5591 -4.5591 4.5591 4.5591 4.5591 -4.5591" Properties=species:S:1:pos:R:3 pbc="T T T"
Bi 3.1697 3.1697 -3.1697
Bi 3.1697 -3.1697 3.1697
Bi 1.3893 1.3893 1.3893
Bi -3.1697 3.1697 3.1697
Os 4.5591 0.0000 1.2647
Os 4.5591 3.2943 0.0000
Os 1.2647 4.5591 0.0000
Os 3.2943 0.0000 4.5591
Os 0.0000 1.2647 4.5591
Os 0.0000 4.5591 3.2943
O 0.0000 0.0000 0.0000
O 2.9281 0.0000 0.0000
O 6.1900 0.0000 0.0000
O 4.5548 1.9747 -1.4272
O 5.9863 -0.0042 2.5844
O 3.1318 0.0042 2.5844
O 0.0000 2.9281 0.0000
O 0.0000 0.0000 2.9281
O 1.9747 -1.4272 4.5548
O 2.5844 3.1318 0.0042
O 4.5633 1.9747 1.4272
O 0.0042 2.5844 3.1318
O 2.5844 5.9863 -0.0042
O 1.9747 1.4272 4.5633
O 0.0000 6.1900 0.0000
O 0.0000 0.0000 6.1900
O -1.4272 4.5548 1.9747
O 1.4272 4.5633 1.9747
O -0.0042 2.5844 5.9863
```

Its formation energy without anion corrections is -1.0095 eV per atom. The crystal system is cubic. The calculation puts the electronic total energy at -0.523 Ry per atom. The magnetic moment comes out at 0.00 μB per cell.

Entry 6:
A relaxed Tl8TeSe4 crystal, computed with GGA-PBE.

extended XYZ file:
```
13
Lattice="0.0000 6.4516 6.4516 6.4516 0.0000 6.4516 6.4516 6.4516 0.0000" Properties=species:S:1:pos:R:3 pbc="T T T"
Tl 8.1603 4.7429 4.7429
Tl 1.3991 1.3991 1.3991
Tl 5.0525 5.0525 1.3991
Tl 5.0525 1.3991 5.0525
Tl 4.7429 8.1603 4.7429
Tl 4.7429 4.7429 8.1603
Tl 8.1603 8.1603 8.1603
Tl 1.3991 5.0525 5.0525
Te 3.2258 3.2258 3.2258
Se 11.2308 8.1241 8.1241
Se 8.1241 11.2308 8.1241
Se 8.1241 8.1241 11.2308
Se 11.2308 11.2308 11.2308
```

Its formation energy without anion corrections is -0.2485 eV per atom. The crystal system is cubic. For the polymorph energy (0 for the lowest one), the calculation gives 0.046 eV/atom. The calculation puts the electronic total energy at -0.222 Ry per atom. The magnetic moment comes out at 0.00 μB per cell.

Entry 7:
A relaxed Tb8GeSe4S3 crystal, computed with GGA-PBE.

extended XYZ file:
```
16
Lattice="4.0212 2.3216 6.7105 -4.0212 2.3216 6.7105 0.0000 -4.6433 6.7105" Properties=species:S:1:pos:R:3 pbc="T T T"
Tb 0.0000 0.0000 4.8613
Tb -2.0243 -1.1687 11.6102
Tb 0.0000 -2.3374 8.5212
Tb -2.0243 1.1687 8.5212
Tb 2.0243 -1.1687 11.6102
Tb 0.0000 2.3374 11.6102
Tb 2.0243 1.1687 8.5212
Tb 0.0000 0.0000 15.2701
Ge 0.0000 0.0000 10.0657
Se 0.0000 0.0000 0.0000
Se -2.0106 -1.1608 6.7105
Se -2.0106 1.1608 13.4210
Se 0.0000 2.3216 6.7105
S -4.0212 0.0000 10.0657
S -2.0106 1.1608 3.3552
S 2.0106 1.1608 3.3552
```

Its formation energy without anion corrections is -1.7967 eV per atom. The crystal system is trigonal. The calculation puts the electronic total energy at -0.444 Ry per atom. The magnetic moment comes out at 0.00 μB per cell.

Entry 8:
A relaxed BaTa2Mo crystal, computed with GGA-PBE.

extended XYZ file:
```
4
Lattice="4.0894 0.0000 0.0000 0.0000 4.0894 0.0000 0.0000 0.0000 5.1455" Properties=species:S:1:pos:R:3 pbc="T T T"
Ba 0.0000 0.0000 0.0000
Ta 0.0000 2.0447 2.5727
Ta 2.0447 0.0000 2.5727
Mo 2.0447 2.0447 0.0000
```

The crystal system is tetragonal. For the polymorph energy (0 for the lowest one), the calculation gives 0.900 eV/atom. The calculation puts the electronic total energy at -0.564 Ry per atom. The magnetic moment comes out at 0.00 μB per cell.